Computed, not measured: crystalline PrNiAg at its relaxed geometry at the PBE level of DFT.

a b c (Å): 3.5609 3.5609 9.9049
angles (deg): 90.00 90.00 90.00
Space group I4mm (No. 107)
Asymmetric unit:
Pr 0.0000 0.0000 0.0000 (multiplicity 2)
Ni 0.0000 0.0000 0.6626 (multiplicity 2)
Ag 0.0000 0.0000 0.2993 (multiplicity 2)

Properties
DFT total energy = -4.546 eV per atom
ΔE_f = -7.2 kJ/mol of atoms
distance to the lowest polymorph of the same formula = 0.65 eV per formula unit
density of states at the Fermi level = 0.77 states/eV/atom